VASP calculation (PBE) on crystalline ZrZn2Ag at its relaxed geometry.

Results
- ΔE_f: -124 meV per atom
- DOS(E_F): 1.4 states/eV/cell
- Total energy: -3.611 eV per atom

abc: 4.645 4.599 4.592
angles: 60.71 59.73 59.57
Fractional coordinates of all 4 atoms:
Zr: 0.000 0.000 0.000
Zn: 0.500 0.500 0.500
Zn: 0.750 0.750 0.750
Ag: 0.250 0.250 0.250